Record 1
Here is a geometry-optimized MnHgI3 structure from Alexandria via LeMat-Bulk. Energies are from GGA-PBE.

Computed properties:
ΔE to the lowest computed polymorph (meV/atom): 390.6
Formation energy (no corrections) (eV per atom): 0.044

Lattice parameters (Å, degrees): 5.5966 5.5966 7.6826 90.00 90.00 90.00
Sites, in units of the cell vectors:
I 0.0000 0.0000 0.0798
I 0.5000 0.0000 0.5066
I 0.0000 0.5000 0.5066
Mn 0.5000 0.5000 0.4517
Hg 0.0000 0.0000 0.7191

Record 2
Here is a geometry-optimized Zr2GaPb structure from Alexandria via LeMat-Bulk. Energies are from GGA-PBE.

Computed properties:
Energy of formation (eV per atom): -0.3288

Lattice parameters (Å, degrees): 3.1835 3.1835 8.5123 90.00 90.00 90.00
Sites, in units of the cell vectors:
Pb 0.5000 0.5000 0.5000
Ga 0.5000 0.5000 0.0000
Zr 0.0000 0.0000 0.7797
Zr 0.0000 0.0000 0.2203

Record 3
Here is a geometry-optimized La2GePd structure from Alexandria via LeMat-Bulk. Energies are from GGA-PBE.

Computed properties:
Energy of formation (eV per atom): -0.7328

Lattice parameters (Å, degrees): 3.6584 3.6584 7.6616 90.00 90.00 90.00
Sites, in units of the cell vectors:
Ge 0.5000 0.5000 0.5000
Pd 0.5000 0.5000 0.0000
La 0.0000 0.0000 0.7540
La 0.0000 0.0000 0.2460

Record 4
Here is a geometry-optimized Tb5Pm3Tm3 structure from Alexandria via LeMat-Bulk. Energies are from GGA-PBE.

Computed properties:
Energy of formation (eV per atom): 0.3369

Lattice parameters (Å, degrees): 3.4318 11.1537 11.1537 120.00 90.00 90.00
Sites, in units of the cell vectors:
Tb 0.5000 0.3333 0.6667
Tb 0.5000 0.6667 0.3333
Tb 0.5000 0.1603 0.1603
Tb 0.5000 0.0000 0.8397
Tb 0.5000 0.8397 0.0000
Pm 0.5000 0.6595 0.6595
Pm 0.5000 0.0000 0.3405
Pm 0.5000 0.3405 0.0000
Tm 0.0000 0.4067 0.4067
Tm 0.0000 0.5933 0.0000
Tm 0.0000 0.0000 0.5933

Record 5
Here is a geometry-optimized Si2TcClO structure from Alexandria via LeMat-Bulk. Energies are from GGA-PBE.

Computed properties:
Formation energy (no corrections) (eV per atom): -0.160

Lattice parameters (Å, degrees): 4.8326 3.8218 4.8326 90.00 90.00 90.00
Sites, in units of the cell vectors:
Si 0.0000 0.0000 0.5000
Si 0.5000 0.0000 0.0000
Tc 0.0000 0.0000 0.0000
O 0.0000 0.5000 0.0000
Cl 0.5000 0.5000 0.5000

Record 6
Here is a geometry-optimized Ca3IF structure from Alexandria via LeMat-Bulk. Energies are from GGA-PBE.

Computed properties:
ΔE to the lowest computed polymorph (meV/atom): 0.0
Formation energy (no corrections) (eV per atom): -1.023

Lattice parameters (Å, degrees): 5.3568 5.3568 5.3568 90.00 90.00 90.00
Sites, in units of the cell vectors:
I 0.5000 0.5000 0.5000
Ca 0.0000 0.5000 0.0000
Ca 0.0000 0.0000 0.5000
Ca 0.5000 0.0000 0.0000
F 0.0000 0.0000 0.0000

Magnetic moment in μB/f.u., matching the order above: 4.38; 0.00; 0.00; 0.00; 0.00; 0.00
Uncorrected energy in eV per atom, matching the order above: -2.780; -6.287; -5.649; -4.283; -5.764; -2.908